Record 1
First-principles (PBE-GGA) data for an optimized crystal structure of DyYTm2, as listed in Alexandria via LeMat-Bulk.

Geometry as CIF:
```
data_DyYTm2
_chemical_formula_sum 'Dy4 Y4 Tm8'
_space_group_name_H-M_alt 'P 1 2/c 1'
_space_group_IT_number 13
_cell_length_a 6.9082
_cell_length_b 6.8890
_cell_length_c 10.8873
_cell_angle_alpha 90.00
_cell_angle_beta 90.01
_cell_angle_gamma 90.00
loop_
_space_group_symop_operation_xyz
'x,y,z'
'-x,-y,-z'
'-x,y,-z+1/2'
'x,-y,z+1/2'
loop_
_atom_site_label
_atom_site_type_symbol
_atom_site_fract_x
_atom_site_fract_y
_atom_site_fract_z
Dy1 Dy 0.1255 0.1252 0.3868
Y1 Y 0.3738 0.3752 0.6139
Tm1 Tm 0.1237 0.3744 0.8893
Tm2 Tm 0.3753 0.1243 0.1114
```

Summary:
The formation energy from the elements is 5.0 kcal/mol of atoms. For the polymorph energy (0 for the lowest one), the calculation gives 19.8 kJ/mol of atoms. For the uncorrected energy, the calculation gives -4.7849 eV/atom. As for the size of the total moment: 0.000 μB per cell.


Record 2
First-principles (PBE-GGA) data for an optimized crystal structure of Dy12Y2Tm5, as listed in Alexandria via LeMat-Bulk.

Geometry as CIF:
```
data_Dy12Y2Tm5
_chemical_formula_sum 'Dy12 Y2 Tm5'
_space_group_name_H-M_alt 'P -1'
_space_group_IT_number 2
_cell_length_a 6.1134
_cell_length_b 9.3278
_cell_length_c 10.6081
_cell_angle_alpha 78.90
_cell_angle_beta 84.39
_cell_angle_gamma 89.98
loop_
_space_group_symop_operation_xyz
'x,y,z'
'-x,-y,-z'
loop_
_atom_site_label
_atom_site_type_symbol
_atom_site_fract_x
_atom_site_fract_y
_atom_site_fract_z
Dy1 Dy 0.0264 0.1055 0.3425
Dy2 Dy 0.1307 0.5259 0.7108
Dy3 Dy 0.1845 0.7360 0.3961
Dy4 Dy 0.2898 0.1588 0.7615
Dy5 Dy 0.3951 0.5787 0.1316
Dy6 Dy 0.4462 0.7886 0.8147
Y1 Y 0.2362 0.9469 0.0798
Tm1 Tm 0.0795 0.3168 0.0264
Tm2 Tm 0.3431 0.3688 0.4469
Tm3 Tm 0.5000 0.0000 0.5000
```

Summary:
The formation energy from the elements is 0.4 kcal/mol of atoms. For the polymorph energy (0 for the lowest one), the calculation gives 0.0 kJ/mol of atoms. For the uncorrected energy, the calculation gives -4.7451 eV/atom. As for the size of the total moment: 0.000 μB per cell.


Q: Which formula does entry 1 have?
A: DyYTm2